(1)
CdSi2Br: relaxed, PBE-GGA.

VASP energy, eV per atom: -3.219
Space-group type: No. 99
D(E_F), states/eV per cell: 1.372

a b c (Å): 3.572 3.573 7.160
angles (deg): 90.00 90.00 90.00
Fractional coordinates of all 4 atoms:
Cd 0.500 0.500 0.750
Br 0.000 0.000 0.513
Si 0.500 0.500 0.109
Si 0.000 0.000 0.128

=====

(2)
Pr2AlIr: relaxed, PBE-GGA.

Formation enthalpy at 0 K, eV per atom: 0.02
Space-group type: No. 166
D(E_F), states/eV per cell: 1.748

a b c (Å): 4.097 4.097 9.987
angles (deg): 78.16 78.16 60.00
Fractional coordinates of all 4 atoms:
Al 0.000 0.000 0.000
Pr 0.888 0.888 0.337
Pr 0.112 0.112 0.663
Ir 0.500 0.500 0.500

=====

(3)
Pu2Tc3Rh: relaxed, PBE-GGA.

Formation enthalpy at 0 K, eV per atom: -0.10
Space-group type: No. 12
D(E_F), states/eV per cell: 18.156

a b c (Å): 5.169 5.169 5.584
angles (deg): 89.93 117.57 120.08
Last column: magnetic moment on the atom in μB.
Fractional coordinates of all 6 atoms:
Rh 0.000 0.000 0.000  -0.26
Tc 0.500 0.500 0.500  -0.28
Tc 0.500 0.000 0.500  -0.29
Pu 0.251 0.625 0.876  4.91
Pu 0.749 0.375 0.124  4.91
Tc 0.000 0.000 0.500  -0.28

=====

| no. | magnetization (μB per cell) |
| --- | --- |
| 1 | 0.00 |
| 2 | 0.00 |
| 3 | 9.04 |